# PmSn2Pd4 | Alexandria | PBE | relaxed
# SG = P4_2/mnm (136)
# Fermi-level density of states = 11.29 states/eV/cell
# V = 278.5 Å³/cell
# Energy above the most stable polymorph in this dataset = 0 meV per atom
data_PmSn2Pd4
_symmetry_space_group_name_H-M 'P 1'
_symmetry_Int_Tables_number 1
_cell_length_a 4.274
_cell_length_b 8.073
_cell_length_c 8.073
_cell_angle_alpha 90.00
_cell_angle_beta 90.00
_cell_angle_gamma 90.00
loop_
_symmetry_equiv_pos_as_xyz
'x,y,z'
loop_
_atom_site_label
_atom_site_fract_x
_atom_site_fract_y
_atom_site_fract_z
Sn1 0.000 0.217 0.783
Pd1 0.000 0.348 0.092
Sn2 0.500 0.717 0.717
Sn3 0.000 0.783 0.217
Pm1 0.000 0.500 0.500
Sn4 0.500 0.283 0.283
Pd2 0.500 0.408 0.848
Pd3 0.500 0.152 0.592
Pd4 0.000 0.908 0.652
Pd5 0.500 0.592 0.152
Pd6 0.500 0.848 0.408
Pd7 0.000 0.092 0.348
Pd8 0.000 0.652 0.908
Pm2 0.500 0.000 0.000